1.
# Ba2LaScRu

Ba2LaScRu after structural relaxation (PBE, Alexandria).

CIF file:
```
data_Ba2LaScRu
_space_group_name_H-M_alt 'P 4/m m m'
_space_group_IT_number 123
_space_group_name_Hall '-P 4 2'
_cell_length_a 6.081
_cell_length_b 6.081
_cell_length_c 5.632
_cell_angle_alpha 90.00
_cell_angle_beta 90.00
_cell_angle_gamma 90.00
loop_
_atom_site_label
_atom_site_type_symbol
_atom_site_fract_x
_atom_site_fract_y
_atom_site_fract_z
Ba1 Ba 0.000 0.500 0.000
La1 La 0.000 0.000 0.500
Sc1 Sc 0.000 0.000 0.000
Ru1 Ru 0.500 0.500 0.500
```

Computed properties:
D(E_F) in states/eV/cell: 10.48
Calculated volume in Å³ per atom: 41.66
Calculated total energy in eV/atom: -3.516
Formation energy in eV/atom: 1.360

=====

2.
# BaLa2ScRu

BaLa2ScRu after structural relaxation (PBE, Alexandria).

CIF file:
```
data_BaLa2ScRu
_space_group_name_H-M_alt 'P 4/m m m'
_space_group_IT_number 123
_space_group_name_Hall '-P 4 2'
_cell_length_a 5.646
_cell_length_b 5.646
_cell_length_c 5.391
_cell_angle_alpha 90.00
_cell_angle_beta 90.00
_cell_angle_gamma 90.00
loop_
_atom_site_label
_atom_site_type_symbol
_atom_site_fract_x
_atom_site_fract_y
_atom_site_fract_z
Ba1 Ba 0.000 0.000 0.000
La1 La 0.000 0.500 0.500
Sc1 Sc 0.500 0.500 0.000
Ru1 Ru 0.500 0.500 0.500
```

Computed properties:
D(E_F) in states/eV/cell: 6.32
Calculated volume in Å³ per atom: 34.37
Calculated total energy in eV/atom: -5.568
Formation energy in eV/atom: -0.091

=====

3.
# BaLaSc2Ru

BaLaSc2Ru after structural relaxation (PBE, Alexandria).

CIF file:
```
data_BaLaSc2Ru
_space_group_name_H-M_alt 'P 4/m m m'
_space_group_IT_number 123
_space_group_name_Hall '-P 4 2'
_cell_length_a 5.330
_cell_length_b 5.330
_cell_length_c 5.477
_cell_angle_alpha 90.00
_cell_angle_beta 90.00
_cell_angle_gamma 90.00
loop_
_atom_site_label
_atom_site_type_symbol
_atom_site_fract_x
_atom_site_fract_y
_atom_site_fract_z
Ba1 Ba 0.000 0.000 0.000
La1 La 0.500 0.500 0.000
Sc1 Sc 0.000 0.500 0.500
Ru1 Ru 0.500 0.500 0.500
```

Computed properties:
D(E_F) in states/eV/cell: 5.45
Calculated volume in Å³ per atom: 31.12
Calculated total energy in eV/atom: -5.848
Formation energy in eV/atom: -0.090

=====

4.
# Ba2SrLaRu

Ba2SrLaRu after structural relaxation (PBE, Alexandria).

CIF file:
```
data_Ba2SrLaRu
_space_group_name_H-M_alt 'P 4/m m m'
_space_group_IT_number 123
_space_group_name_Hall '-P 4 2'
_cell_length_a 6.466
_cell_length_b 6.466
_cell_length_c 5.256
_cell_angle_alpha 90.00
_cell_angle_beta 90.00
_cell_angle_gamma 90.00
loop_
_atom_site_label
_atom_site_type_symbol
_atom_site_fract_x
_atom_site_fract_y
_atom_site_fract_z
Ba1 Ba 0.000 0.500 0.000
Sr1 Sr 0.000 0.000 0.500
La1 La 0.500 0.500 0.500
Ru1 Ru 0.500 0.500 0.000
```

Computed properties:
D(E_F) in states/eV/cell: 4.14
Calculated volume in Å³ per atom: 43.96
Calculated total energy in eV/atom: -3.886
Formation energy in eV/atom: 0.060

=====

5.
# BaLa2TeRu

BaLa2TeRu after structural relaxation (PBE, Alexandria).

CIF file:
```
data_BaLa2TeRu
_space_group_name_H-M_alt 'P 4/m m m'
_space_group_IT_number 123
_space_group_name_Hall '-P 4 2'
_cell_length_a 5.316
_cell_length_b 5.316
_cell_length_c 6.425
_cell_angle_alpha 90.00
_cell_angle_beta 90.00
_cell_angle_gamma 90.00
loop_
_atom_site_label
_atom_site_type_symbol
_atom_site_fract_x
_atom_site_fract_y
_atom_site_fract_z
Ba1 Ba 0.000 0.000 0.000
La1 La 0.000 0.500 0.500
Te1 Te 0.500 0.500 0.000
Ru1 Ru 0.000 0.000 0.500
```

Computed properties:
D(E_F) in states/eV/cell: 5.27
Formation energy from raw total energies in eV per atom: -0.5420
Calculated volume in Å³ per atom: 36.32
Calculated total energy in eV/atom: -5.381

=====

6.
# BaLaTl2Ru

BaLaTl2Ru after structural relaxation (PBE, Alexandria).

CIF file:
```
data_BaLaTl2Ru
_space_group_name_H-M_alt 'P 4/m m m'
_space_group_IT_number 123
_space_group_name_Hall '-P 4 2'
_cell_length_a 5.578
_cell_length_b 5.578
_cell_length_c 5.115
_cell_angle_alpha 90.00
_cell_angle_beta 90.00
_cell_angle_gamma 90.00
loop_
_atom_site_label
_atom_site_type_symbol
_atom_site_fract_x
_atom_site_fract_y
_atom_site_fract_z
Ba1 Ba 0.000 0.000 0.000
La1 La 0.500 0.500 0.000
Tl1 Tl 0.000 0.500 0.500
Ru1 Ru 0.500 0.500 0.500
```

Computed properties:
D(E_F) in states/eV/cell: 4.04
Calculated volume in Å³ per atom: 31.83
Calculated total energy in eV/atom: -4.382
Formation energy in eV/atom: -0.211

=====

7.
# BaLa2TlRu

BaLa2TlRu after structural relaxation (PBE, Alexandria).

CIF file:
```
data_BaLa2TlRu
_space_group_name_H-M_alt 'P 4/m m m'
_space_group_IT_number 123
_space_group_name_Hall '-P 4 2'
_cell_length_a 5.486
_cell_length_b 5.486
_cell_length_c 5.656
_cell_angle_alpha 90.00
_cell_angle_beta 90.00
_cell_angle_gamma 90.00
loop_
_atom_site_label
_atom_site_type_symbol
_atom_site_fract_x
_atom_site_fract_y
_atom_site_fract_z
Ba1 Ba 0.000 0.000 0.000
La1 La 0.000 0.500 0.500
Tl1 Tl 0.500 0.500 0.000
Ru1 Ru 0.500 0.500 0.500
```

Computed properties:
Energy relative to the lowest polymorph listed for this composition in eV/f.u.: 0.00
D(E_F) in states/eV/cell: 3.44
Calculated volume in Å³ per atom: 34.04
Calculated total energy in eV/atom: -4.877
Formation energy in eV/atom: -0.193

=====

8.
# BaLa2TlRu

BaLa2TlRu after structural relaxation (PBE, Alexandria).

CIF file:
```
data_BaLa2TlRu
_space_group_name_H-M_alt 'P 4/m m m'
_space_group_IT_number 123
_space_group_name_Hall '-P 4 2'
_cell_length_a 5.447
_cell_length_b 5.447
_cell_length_c 6.031
_cell_angle_alpha 90.00
_cell_angle_beta 90.00
_cell_angle_gamma 90.00
loop_
_atom_site_label
_atom_site_type_symbol
_atom_site_fract_x
_atom_site_fract_y
_atom_site_fract_z
Ba1 Ba 0.000 0.000 0.000
La1 La 0.000 0.500 0.500
Tl1 Tl 0.500 0.500 0.000
Ru1 Ru 0.000 0.000 0.500
```

Computed properties:
Energy relative to the lowest polymorph listed for this composition in eV/f.u.: 0.26
D(E_F) in states/eV/cell: 6.38
Calculated volume in Å³ per atom: 35.79
Calculated total energy in eV/atom: -4.825
Formation energy in eV/atom: -0.141

=====

9.
# BaLa2YRu

BaLa2YRu after structural relaxation (PBE, Alexandria).

CIF file:
```
data_BaLa2YRu
_space_group_name_H-M_alt 'P 4/m m m'
_space_group_IT_number 123
_space_group_name_Hall '-P 4 2'
_cell_length_a 5.642
_cell_length_b 5.642
_cell_length_c 5.740
_cell_angle_alpha 90.00
_cell_angle_beta 90.00
_cell_angle_gamma 90.00
loop_
_atom_site_label
_atom_site_type_symbol
_atom_site_fract_x
_atom_site_fract_y
_atom_site_fract_z
Ba1 Ba 0.000 0.000 0.000
La1 La 0.000 0.500 0.500
Y1 Y 0.500 0.500 0.000
Ru1 Ru 0.500 0.500 0.500
```

Computed properties:
D(E_F) in states/eV/cell: 5.92
Calculated volume in Å³ per atom: 36.55
Calculated total energy in eV/atom: -5.620
Formation energy in eV/atom: -0.116

=====

10.
# Ba3LaS4

Ba3LaS4 after structural relaxation (PBE, Alexandria).

CIF file:
```
data_Ba3LaS4
_space_group_name_H-M_alt 'C m m m'
_space_group_IT_number 65
_space_group_name_Hall '-C 2 2'
_cell_length_a 8.930
_cell_length_b 12.565
_cell_length_c 4.424
_cell_angle_alpha 90.00
_cell_angle_beta 90.00
_cell_angle_gamma 90.00
loop_
_atom_site_label
_atom_site_type_symbol
_atom_site_fract_x
_atom_site_fract_y
_atom_site_fract_z
Ba1 Ba 0.000 0.000 0.000
Ba2 Ba 0.250 0.250 0.500
La1 La 0.000 0.500 0.000
S1 S 0.000 0.263 0.000
S2 S 0.229 0.500 0.500
```

Computed properties:
Energy relative to the lowest polymorph listed for this composition in eV/f.u.: 0.04
D(E_F) in states/eV/cell: 6.47
Formation energy from raw total energies in eV per atom: -2.0642
Calculated volume in Å³ per atom: 31.03
Calculated total energy in eV/atom: -5.465

=====

11.
# BaLaS2

BaLaS2 after structural relaxation (PBE, Alexandria).

CIF file:
```
data_BaLaS2
_space_group_name_H-M_alt 'R 3 m'
_space_group_IT_number 160
_space_group_name_Hall 'R 3 -2"'
_cell_length_a 4.2251
_cell_length_b 4.2251
_cell_length_c 22.5904
_cell_angle_alpha 90.00
_cell_angle_beta 90.00
_cell_angle_gamma 120.00
loop_
_atom_site_label
_atom_site_type_symbol
_atom_site_fract_x
_atom_site_fract_y
_atom_site_fract_z
Ba1 Ba 0.0000 0.0000 0.0000
La1 La 0.0000 0.0000 0.8261
S1 S 0.0000 0.0000 0.2356
S2 S 0.0000 0.0000 0.4206
```

Computed properties:
Energy relative to the lowest polymorph listed for this composition in eV/f.u.: 0.34
D(E_F) in states/eV/cell: 7.05
Formation energy from raw total energies in eV per atom: -2.0040
Calculated volume in Å³ per atom: 29.10
Calculated total energy in eV/atom: -5.780

=====

12.
# BaLaS2

BaLaS2 after structural relaxation (PBE, Alexandria).

CIF file:
```
data_BaLaS2
_space_group_name_H-M_alt 'P 63/m m c'
_space_group_IT_number 194
_space_group_name_Hall '-P 6c 2c'
_cell_length_a 4.2751
_cell_length_b 4.2751
_cell_length_c 14.5822
_cell_angle_alpha 90.00
_cell_angle_beta 90.00
_cell_angle_gamma 120.00
loop_
_atom_site_label
_atom_site_type_symbol
_atom_site_fract_x
_atom_site_fract_y
_atom_site_fract_z
Ba1 Ba 0.3333 0.6667 0.2500
La1 La 0.0000 0.0000 0.0000
S1 S 0.3333 0.6667 0.6110
```

Computed properties:
Energy relative to the lowest polymorph listed for this composition in eV/f.u.: 0.07
D(E_F) in states/eV/cell: 2.97
Formation energy from raw total energies in eV per atom: -2.0726
Calculated volume in Å³ per atom: 28.85
Calculated total energy in eV/atom: -5.849

=====

Q: The lowest D(E_F) belongs to which entry?
A: number 12